Entry 1:
Computed, not measured: an optimized crystal structure of LiGa2Pb at the GGA-PBE level of DFT.

## Properties
* space group: P4/mmm
* ΔE_f: -0.097 eV/atom

abc: 4.214 4.214 4.719
angles: 90.00 90.00 90.00
Atoms (fractional coordinates):
Li 0.000 0.000 0.000
Ga 0.000 0.500 0.500
Ga 0.500 0.000 0.500
Pb 0.500 0.500 0.000

Entry 2:
Computed, not measured: an optimized crystal structure of Ce3Cd2Pd3 at the GGA-PBE level of DFT.

## Properties
* space group: P6_3/mcm
* ΔE_f: -0.527 eV/atom

abc: 8.548 8.548 5.828
angles: 90.00 90.00 120.00
Atoms (fractional coordinates):
Ce 0.000 0.270 0.250
Ce 0.000 0.730 0.750
Ce 0.270 0.000 0.250
Ce 0.270 0.270 0.750
Ce 0.730 0.000 0.750
Ce 0.730 0.730 0.250
Cd 0.333 0.667 0.000
Cd 0.333 0.667 0.500
Cd 0.667 0.333 0.000
Cd 0.667 0.333 0.500
Pd 0.000 0.388 0.750
Pd 0.000 0.612 0.250
Pd 0.388 0.000 0.750
Pd 0.388 0.388 0.250
Pd 0.612 0.000 0.250
Pd 0.612 0.612 0.750

Entry 3:
Computed, not measured: an optimized crystal structure of LiGe2Ir at the GGA-PBE level of DFT.

## Properties
* space group: Pnma
* ΔE_f: -0.325 eV/atom
* energy relative to the lowest polymorph listed for this composition: 18 meV/atom

abc: 14.197 7.323 5.086
angles: 90.00 90.00 90.00
Atoms (fractional coordinates):
Li 0.107 0.250 0.250
Li 0.142 0.750 0.019
Li 0.358 0.250 0.519
Li 0.393 0.750 0.750
Li 0.607 0.250 0.250
Li 0.642 0.750 0.481
Li 0.858 0.250 0.981
Li 0.893 0.750 0.750
Ge 0.033 0.041 0.766
Ge 0.033 0.459 0.766
Ge 0.210 0.542 0.508
Ge 0.210 0.958 0.508
Ge 0.290 0.042 0.008
Ge 0.290 0.458 0.008
Ge 0.467 0.541 0.266
Ge 0.467 0.959 0.266
Ge 0.533 0.041 0.734
Ge 0.533 0.459 0.734
Ge 0.710 0.542 0.992
Ge 0.710 0.958 0.992
Ge 0.790 0.042 0.492
Ge 0.790 0.458 0.492
Ge 0.967 0.541 0.234
Ge 0.967 0.959 0.234
Ir 0.070 0.750 0.514
Ir 0.177 0.250 0.759
Ir 0.323 0.750 0.259
Ir 0.430 0.250 0.014
Ir 0.570 0.750 0.986
Ir 0.677 0.250 0.741
Ir 0.823 0.750 0.241
Ir 0.930 0.250 0.486

Entry 4:
Computed, not measured: an optimized crystal structure of CePr5Ge4 at the GGA-PBE level of DFT.

## Properties
* space group: C2/m
* ΔE_f: -0.587 eV/atom

abc: 8.357 8.357 7.103
angles: 91.10 91.10 36.14
Atoms (fractional coordinates):
Ce 0.000 0.000 0.000
Pr 0.000 0.000 0.500
Pr 0.334 0.334 0.997
Pr 0.336 0.336 0.512
Pr 0.664 0.664 0.488
Pr 0.666 0.666 0.003
Ge 0.177 0.177 0.249
Ge 0.491 0.491 0.247
Ge 0.509 0.509 0.753
Ge 0.823 0.823 0.751

Entry 5:
Computed, not measured: an optimized crystal structure of Cu3As at the GGA-PBE level of DFT.

## Properties
* space group: Fm-3m
* ΔE_f: 0.141 eV/atom

abc: 4.245 4.245 4.245
angles: 60.00 60.00 60.00
Atoms (fractional coordinates):
Cu 0.000 0.000 0.000
Cu 0.250 0.250 0.250
Cu 0.750 0.750 0.750
As 0.500 0.500 0.500

Entry 6:
Computed, not measured: an optimized crystal structure of Pr2TaWN6 at the GGA-PBE level of DFT.

## Properties
* raw total energy: -9.392 eV/atom
* space group: P2_1/c

abc: 5.712 5.710 9.852
angles: 90.00 125.29 90.00
Atoms (fractional coordinates):
Pr 0.243 0.031 0.250
Pr 0.243 0.469 0.750
Pr 0.757 0.531 0.250
Pr 0.757 0.969 0.750
Ta 0.500 0.000 0.000
Ta 0.500 0.500 0.500
W 0.000 0.000 0.500
W 0.000 0.500 0.000
N 0.180 0.225 0.961
N 0.180 0.275 0.461
N 0.235 0.719 0.961
N 0.235 0.781 0.461
N 0.319 0.012 0.746
N 0.319 0.488 0.246
N 0.681 0.512 0.754
N 0.681 0.988 0.254
N 0.765 0.219 0.539
N 0.765 0.281 0.039
N 0.820 0.725 0.539
N 0.820 0.775 0.039